# B5C7 (GGA-PBE, optimized geometry)
# Theoretical density (g/cm³): 2.937
# DFT formation energy (eV/atom): 0.333
# Total moment (μB per cell): 0.00
data_B5C7
_space_group_name_H-M_alt 'P m m 2'
_space_group_IT_number 25
_space_group_name_Hall 'P 2 -2'
_cell_length_a 2.4840
_cell_length_b 2.5117
_cell_length_c 12.5183
_cell_angle_alpha 90.00
_cell_angle_beta 90.00
_cell_angle_gamma 90.00
loop_
_atom_site_label
_atom_site_type_symbol
_atom_site_fract_x
_atom_site_fract_y
_atom_site_fract_z
B1 B 0.0000 0.0000 0.0000
B2 B 0.0000 0.0000 0.3450
B3 B 0.0000 0.5000 0.1038
B4 B 0.5000 0.0000 0.8926
B5 B 0.5000 0.5000 0.5116
C1 C 0.0000 0.0000 0.6665
C2 C 0.0000 0.5000 0.4265
C3 C 0.0000 0.5000 0.7424
C4 C 0.5000 0.0000 0.2559
C5 C 0.5000 0.0000 0.5981
C6 C 0.5000 0.5000 0.1907
C7 C 0.5000 0.5000 0.8114

# DyCrP2N6 (GGA-PBE, optimized geometry)
# Theoretical density (g/cm³): 4.808
# E_form (uncorrected) (kJ/mol of formula units): -521
# Total moment (μB per cell): 4.01
data_DyCrP2N6
_space_group_name_H-M_alt 'C 1 2/c 1'
_space_group_IT_number 15
_space_group_name_Hall '-C 2yc'
_cell_length_a 10.0262
_cell_length_b 9.6927
_cell_length_c 5.5705
_cell_angle_alpha 90.00
_cell_angle_beta 113.08
_cell_angle_gamma 90.00
loop_
_atom_site_label
_atom_site_type_symbol
_atom_site_fract_x
_atom_site_fract_y
_atom_site_fract_z
Dy1 Dy 0.0000 0.1182 0.2500
Cr1 Cr 0.0000 0.2218 0.7500
P1 P 0.1978 0.4270 0.1807
N1 N 0.1038 0.2840 0.0685
N2 N 0.1225 0.0986 0.6980
N3 N 0.1664 0.4685 0.4366

# Co2PtBr (GGA-PBE, optimized geometry)
# Theoretical density (g/cm³): 10.852
# E_form (uncorrected) (kJ/mol of formula units): 184
# Total moment (μB per cell): 12.17
data_Co2PtBr
_space_group_name_H-M_alt 'R -3 m'
_space_group_IT_number 166
_space_group_name_Hall '-R 3 2"'
_cell_length_a 2.9519
_cell_length_b 2.9519
_cell_length_c 23.8970
_cell_angle_alpha 90.00
_cell_angle_beta 90.00
_cell_angle_gamma 120.00
loop_
_atom_site_label
_atom_site_type_symbol
_atom_site_fract_x
_atom_site_fract_y
_atom_site_fract_z
Co1 Co 0.0000 0.0000 0.2494
Pt1 Pt 0.0000 0.0000 0.0000
Br1 Br 0.0000 0.0000 0.5000